# 1
# Hf4GaB2Pb (PBE-GGA, optimized geometry)
# Final energy   -63.7 eV/cell
# V   148.6 Å³ per cell
data_Hf4GaB2Pb
_chemical_formula_sum 'Hf4 Ga1 B2 Pb1'
_space_group_name_H-M_alt 'P -6 m 2'
_space_group_IT_number 187
_space_group_name_Hall 'P -6 2'
_cell_length_a 3.4237
_cell_length_b 3.4237
_cell_length_c 14.6351
_cell_angle_alpha 90.00
_cell_angle_beta 90.00
_cell_angle_gamma 120.00
loop_
_atom_site_label
_atom_site_type_symbol
_atom_site_fract_x
_atom_site_fract_y
_atom_site_fract_z
Hf1 Hf 0.0000 0.0000 0.1537
Hf2 Hf 0.3333 0.6667 0.3273
Ga1 Ga 0.3333 0.6667 0.0000
B1 B 0.6667 0.3333 0.2428
Pb1 Pb 0.0000 0.0000 0.5000

---

# 2
# YHo2Al3CuSi2 (PBE-GGA, optimized geometry)
# Final energy   -94.3 eV/cell
# V   343.1 Å³ per cell
data_YHo2Al3CuSi2
_chemical_formula_sum 'Y2 Ho4 Al6 Cu2 Si4'
_space_group_name_H-M_alt 'A m m 2'
_space_group_IT_number 38
_space_group_name_Hall 'A 2 -2'
_cell_length_a 4.1612
_cell_length_b 11.9532
_cell_length_c 6.8982
_cell_angle_alpha 90.00
_cell_angle_beta 90.00
_cell_angle_gamma 90.00
loop_
_atom_site_label
_atom_site_type_symbol
_atom_site_fract_x
_atom_site_fract_y
_atom_site_fract_z
Y1 Y 0.0000 0.0000 0.0000
Ho1 Ho 0.0000 0.2031 0.3903
Al1 Al 0.5000 0.0000 0.3557
Al2 Al 0.5000 0.1191 0.7117
Cu1 Cu 0.0000 0.0000 0.5915
Si1 Si 0.5000 0.1674 0.0936

---

# 3
# TbHo2Mg3Ir2Pt (PBE-GGA, optimized geometry)
# Final energy   -98.6 eV/cell
# V   373.3 Å³ per cell
data_TbHo2Mg3Ir2Pt
_chemical_formula_sum 'Tb2 Ho4 Mg6 Ir4 Pt2'
_space_group_name_H-M_alt 'A m m 2'
_space_group_IT_number 38
_space_group_name_Hall 'A 2 -2'
_cell_length_a 4.0351
_cell_length_b 12.6596
_cell_length_c 7.3085
_cell_angle_alpha 90.00
_cell_angle_beta 90.00
_cell_angle_gamma 90.00
loop_
_atom_site_label
_atom_site_type_symbol
_atom_site_fract_x
_atom_site_fract_y
_atom_site_fract_z
Tb1 Tb 0.0000 0.0000 0.0000
Ho1 Ho 0.0000 0.2067 0.6201
Mg1 Mg 0.5000 0.0000 0.6606
Mg2 Mg 0.5000 0.1237 0.2899
Ir1 Ir 0.5000 0.1668 0.9134
Pt1 Pt 0.0000 0.0000 0.4137

---

# 4
# MgOs (PBE-GGA, optimized geometry)
# Final energy   -98.0 eV/cell
# V   254.2 Å³ per cell
data_MgOs
_chemical_formula_sum 'Mg8 Os8'
_space_group_name_H-M_alt 'P m m n'
_space_group_IT_number 59
_cell_length_a 4.4990
_cell_length_b 5.5746
_cell_length_c 10.1352
_cell_angle_alpha 90.00
_cell_angle_beta 90.00
_cell_angle_gamma 90.00
loop_
_space_group_symop_operation_xyz
'x,y,z'
'-x,-y,-z'
'-x+1/2,-y+1/2,z'
'x+1/2,y+1/2,-z'
'x+1/2,-y,-z'
'-x+1/2,y,z'
'-x,y+1/2,-z'
'x,-y+1/2,z'
loop_
_atom_site_label
_atom_site_type_symbol
_atom_site_fract_x
_atom_site_fract_y
_atom_site_fract_z
Mg1 Mg 0.2500 0.0013 0.0817
Mg2 Mg 0.2500 0.2500 0.3309
Mg3 Mg 0.2500 0.2500 0.8034
Os1 Os 0.2500 0.5151 0.5683
Os2 Os 0.2500 0.7500 0.3470
Os3 Os 0.2500 0.7500 0.8176

---

Question: Which of these has the lowest V?
Answer: Hf4GaB2Pb